The following is a DFT calculation (PBE) of a relaxed LuGa4Bi crystal.

Computed properties:
Calculated formation energy = -0.167 eV/atom
Density of states at the Fermi level = 3.4 states/eV per cell
Space group = F-43m

a = 5.6306 Å, b = 5.6306 Å, c = 5.6306 Å
α = 60.00°, β = 60.00°, γ = 60.00°
Last column: nearest neighbours and their distance in Å.
Fractional coordinates of all 6 atoms:
Bi: 0.2500 0.2500 0.2500  12 Ga 3.30, 4 Lu 3.45
Ga: 0.6252 0.6252 0.6252  6 Ga 2.81-2.82
Ga: 0.1244 0.6252 0.6252  6 Ga 2.81-2.82
Ga: 0.6252 0.6252 0.1244  6 Ga 2.81-2.82
Ga: 0.6252 0.1244 0.6252  6 Ga 2.81-2.82
Lu: 0.0000 0.0000 0.0000  12 Ga 3.30, 4 Bi 3.45

***

The following is a DFT calculation (PBE) of a relaxed GdMgCdHg crystal.

Computed properties:
Calculated formation energy = -0.200 eV/atom
Density of states at the Fermi level = 3.4 states/eV per cell
Space group = F-43m

a = 5.0850 Å, b = 5.0850 Å, c = 5.0850 Å
α = 60.00°, β = 60.00°, γ = 60.00°
Last column: nearest neighbours and their distance in Å.
Fractional coordinates of all 4 atoms:
Mg: 0.7500 0.7500 0.7500  4 Hg 3.11, 4 Gd 3.11
Hg: 0.5000 0.5000 0.5000  4 Cd 3.11, 4 Mg 3.11
Gd: 0.0000 0.0000 0.0000  4 Cd 3.11, 4 Mg 3.11
Cd: 0.2500 0.2500 0.2500  4 Gd 3.11, 4 Hg 3.11

***

The following is a DFT calculation (PBE) of a relaxed GaHg3 crystal.

Computed properties:
Calculated formation energy = 0.068 eV/atom
Density of states at the Fermi level = 1.8 states/eV per cell
Space group = Fm-3m

a = 5.1787 Å, b = 5.1787 Å, c = 5.1787 Å
α = 60.00°, β = 60.00°, γ = 60.00°
Last column: nearest neighbours and their distance in Å.
Fractional coordinates of all 4 atoms:
Hg: 0.0000 0.0000 0.0000  4 Hg 3.17, 4 Ga 3.17
Hg: 0.5000 0.5000 0.5000  4 Ga 3.17, 4 Hg 3.17
Hg: 0.2500 0.2500 0.2500  8 Hg 3.17
Ga: 0.7500 0.7500 0.7500  8 Hg 3.17

***

The following is a DFT calculation (PBE) of a relaxed Cs2K13 crystal.

Computed properties:
Calculated formation energy = 0.108 eV/atom
Density of states at the Fermi level = 15.2 states/eV per cell
Space group = R-3m

a = 12.3592 Å, b = 12.3592 Å, c = 13.2098 Å
α = 62.11°, β = 62.11°, γ = 60.00°
Last column: nearest neighbours and their distance in Å.
Fractional coordinates of all 15 atoms:
K: 0.8497 0.4878 0.1747  6 K 4.36-4.64, 1 Cs 4.59
K: 0.5122 0.1503 0.8253  6 K 4.36-4.64, 1 Cs 4.59
K: 0.2602 0.2602 0.5955  8 K 4.58-5.04, 1 Cs 4.92
K: 0.8842 0.2602 0.5955  8 K 4.58-5.04, 1 Cs 4.92
K: 0.5000 0.5000 0.5000  12 K 4.44-4.58
K: 0.1158 0.7398 0.4045  8 K 4.58-5.04, 1 Cs 4.92
K: 0.7398 0.7398 0.4045  8 K 4.58-5.04, 1 Cs 4.92
K: 0.5122 0.5122 0.8253  6 K 4.36-4.64, 1 Cs 4.59
K: 0.1503 0.5122 0.8253  6 K 4.36-4.64, 1 Cs 4.59
K: 0.2602 0.8842 0.5955  8 K 4.58-5.04, 1 Cs 4.92
K: 0.7398 0.1158 0.4045  8 K 4.58-5.04, 1 Cs 4.92
K: 0.4878 0.4878 0.1747  6 K 4.36-4.64, 1 Cs 4.59
K: 0.4878 0.8497 0.1747  6 K 4.36-4.64, 1 Cs 4.59
Cs: 0.7417 0.7417 0.7750  6 K 4.59-4.92
Cs: 0.2583 0.2583 0.2250  6 K 4.59-4.92

***

The following is a DFT calculation (PBE) of a relaxed TaTeIr crystal.

Computed properties:
Density of states at the Fermi level = 1.5 states/eV per cell
Energy relative to the elements, uncorrected = 0.8 eV/f.u.
Space group = P3m1

a = 4.3981 Å, b = 4.3981 Å, c = 3.3745 Å
α = 90.00°, β = 90.00°, γ = 120.00°
Last column: nearest neighbours and their distance in Å.
Fractional coordinates of all 3 atoms:
Ir: 0.0000 0.0000 0.9462  3 Te 2.63, 3 Ta 2.82
Ta: 0.3333 0.6667 0.3077  3 Ir 2.82, 3 Te 2.94
Te: 0.6667 0.3333 0.7461  3 Ir 2.63, 3 Ta 2.94

***

The following is a DFT calculation (PBE) of a relaxed NaBr3 crystal.

Computed properties:
Density of states at the Fermi level = 5.7 states/eV per cell
Energy relative to the elements, uncorrected = -2.2 eV/f.u.
Space group = P4/mmm

a = 4.7654 Å, b = 4.7683 Å, c = 5.5657 Å
α = 90.00°, β = 90.00°, γ = 90.00°
Last column: nearest neighbours and their distance in Å.
Fractional coordinates of all 4 atoms:
Br: 0.0000 0.8332 0.5000  2 Na 2.78
Br: 0.5000 0.3335 0.0000  2 Br 2.78
Br: 0.5000 0.3333 0.5000  2 Br 2.78
Na: 0.0000 0.8333 0.0000  2 Br 2.78

***

The following is a DFT calculation (PBE) of a relaxed Nd2Zn12Cu3Ni crystal.

Computed properties:
Calculated formation energy = -0.018 eV/atom
Density of states at the Fermi level = 10.8 states/eV per cell
Space group = R-3m

a = 11.3991 Å, b = 11.3991 Å, c = 11.3991 Å
α = 29.62°, β = 29.62°, γ = 29.62°
Last column: nearest neighbours and their distance in Å.
Fractional coordinates of all 18 atoms:
Cu: 0.0000 0.5000 0.0000  4 Zn 2.46
Cu: 0.0000 0.0000 0.5000  4 Zn 2.46
Cu: 0.5000 0.0000 0.0000  4 Zn 2.46
Zn: 0.3785 0.8968 0.8968  1 Ni 2.48, 2 Zn 2.60
Zn: 0.1492 0.5971 0.5971  2 Cu 2.46, 4 Zn 2.60-2.61
Zn: 0.6215 0.1032 0.1032  1 Ni 2.48, 2 Zn 2.60
Zn: 0.5971 0.1492 0.5971  2 Cu 2.46, 4 Zn 2.60-2.61
Zn: 0.1032 0.6215 0.1032  1 Ni 2.48, 2 Zn 2.60
Zn: 0.8968 0.3785 0.8968  1 Ni 2.48, 2 Zn 2.60
Zn: 0.8968 0.8968 0.3785  1 Ni 2.48, 2 Zn 2.60
Zn: 0.1032 0.1032 0.6215  1 Ni 2.48, 2 Zn 2.60
Zn: 0.4029 0.4029 0.8508  2 Cu 2.46, 4 Zn 2.60-2.61
Zn: 0.8508 0.4029 0.4029  2 Cu 2.46, 4 Zn 2.60-2.61
Zn: 0.4029 0.8508 0.4029  2 Cu 2.46, 4 Zn 2.60-2.61
Zn: 0.5971 0.5971 0.1492  2 Cu 2.46, 4 Zn 2.60-2.61
Ni: 0.0000 0.0000 0.0000  6 Zn 2.48
Nd: 0.3584 0.3584 0.3584  12 Zn 3.10-3.29, 3 Ni 3.46
Nd: 0.6416 0.6416 0.6416  12 Zn 3.10-3.29, 3 Ni 3.46

***

The following is a DFT calculation (PBE) of a relaxed NdEu2Au crystal.

Computed properties:
Calculated formation energy = -0.346 eV/atom
Density of states at the Fermi level = 9.3 states/eV per cell
Space group = P4/mmm

a = 3.7551 Å, b = 3.7551 Å, c = 9.1670 Å
α = 90.00°, β = 90.00°, γ = 90.00°
Last column: nearest neighbours and their distance in Å.
Fractional coordinates of all 4 atoms:
Eu: 0.0000 0.0000 0.8030  4 Au 3.21
Eu: 0.0000 0.0000 0.1970  4 Au 3.21
Au: 0.5000 0.5000 0.0000  8 Eu 3.21
Nd: 0.5000 0.5000 0.5000  4 Nd 3.76, 8 Eu 3.84

***

The following is a DFT calculation (PBE) of a relaxed LiUTlI6 crystal.

Computed properties:
Density of states at the Fermi level = 21.8 states/eV per cell
Energy relative to the elements, uncorrected = -7.8 eV/f.u.
Space group = P-31c

a = 7.7685 Å, b = 7.7685 Å, c = 15.4287 Å
α = 90.00°, β = 90.00°, γ = 120.00°
Last column: nearest neighbours and their distance in Å.
Fractional coordinates of all 18 atoms:
Tl: 0.0000 0.0000 0.5000  6 I 3.53
Tl: 0.0000 0.0000 0.0000  6 I 3.53
I: 0.0007 0.3637 0.6375  1 U 3.02, 1 Li 3.03
I: 0.3637 0.0007 0.1375  1 U 3.02, 1 Li 3.03
I: 0.6371 0.0007 0.3625  1 U 3.02, 1 Li 3.03
I: 0.3629 0.3637 0.8625  1 U 3.02, 1 Li 3.03
I: 0.3629 0.9993 0.6375  1 U 3.02, 1 Li 3.03
I: 0.3637 0.3629 0.3625  1 U 3.02, 1 Li 3.03
I: 0.0007 0.6371 0.8625  1 U 3.02, 1 Li 3.03
I: 0.6363 0.6371 0.6375  1 U 3.02, 1 Li 3.03
I: 0.9993 0.3629 0.1375  1 U 3.02, 1 Li 3.03
I: 0.6371 0.6363 0.1375  1 U 3.02, 1 Li 3.03
I: 0.6363 0.9993 0.8625  1 U 3.02, 1 Li 3.03
I: 0.9993 0.6363 0.3625  1 U 3.02, 1 Li 3.03
U: 0.3333 0.6667 0.7500  6 I 3.02
U: 0.6667 0.3333 0.2500  6 I 3.02
Li: 0.3333 0.6667 0.2500  6 I 3.03
Li: 0.6667 0.3333 0.7500  6 I 3.03

***

The following is a DFT calculation (PBE) of a relaxed GaSiIrRu crystal.

Computed properties:
Density of states at the Fermi level = 0.8 states/eV per cell
Energy relative to the elements, uncorrected = -2.0 eV/f.u.
Space group = F-43m

a = 4.2436 Å, b = 4.2436 Å, c = 4.2436 Å
α = 60.00°, β = 60.00°, γ = 60.00°
Last column: nearest neighbours and their distance in Å.
Fractional coordinates of all 4 atoms:
Ga: 0.2500 0.2500 0.2500  4 Ru 2.60, 4 Ir 2.60
Ir: 0.5000 0.5000 0.5000  4 Ga 2.60, 4 Si 2.60
Si: 0.7500 0.7500 0.7500  4 Ir 2.60, 4 Ru 2.60
Ru: 0.0000 0.0000 0.0000  4 Si 2.60, 4 Ga 2.60

***

The following is a DFT calculation (PBE) of a relaxed CuBSb3 crystal.

Computed properties:
Density of states at the Fermi level = 3.0 states/eV per cell
Energy relative to the elements, uncorrected = 4.5 eV/f.u.
Space group = Pm-3m

a = 4.7801 Å, b = 4.7801 Å, c = 4.7801 Å
α = 90.00°, β = 90.00°, γ = 90.00°
Last column: nearest neighbours and their distance in Å.
Fractional coordinates of all 5 atoms:
Sb: 0.0000 0.0000 0.5000  2 B 2.39
Sb: 0.0000 0.5000 0.0000  2 B 2.39
Sb: 0.5000 0.0000 0.0000  2 B 2.39
Cu: 0.5000 0.5000 0.5000  12 Sb 3.38
B: 0.0000 0.0000 0.0000  6 Sb 2.39

***

The following is a DFT calculation (PBE) of a relaxed NbCrSi2Ir crystal.

Computed properties:
Density of states at the Fermi level = 5.4 states/eV per cell
Energy relative to the elements, uncorrected = 7.5 eV/f.u.
Space group = P4/mmm

a = 4.7205 Å, b = 4.4976 Å, c = 4.7205 Å
α = 90.00°, β = 90.00°, γ = 90.00°
Last column: nearest neighbours and their distance in Å.
Fractional coordinates of all 5 atoms:
Si: 0.0000 0.0000 0.5000  2 Nb 2.36
Si: 0.5000 0.0000 0.0000  2 Nb 2.36
Ir: 0.5000 0.5000 0.5000  8 Si 3.26, 4 Cr 3.34
Cr: 0.0000 0.5000 0.0000  2 Nb 2.25
Nb: 0.0000 0.0000 0.0000  2 Cr 2.25, 4 Si 2.36

***

The following is a DFT calculation (PBE) of a relaxed VAg2Br6 crystal.

Computed properties:
Density of states at the Fermi level = 13.2 states/eV per cell
Energy relative to the elements, uncorrected = -4.9 eV/f.u.
Space group = C2/c

a = 6.2978 Å, b = 11.4269 Å, c = 11.4269 Å
α = 72.72°, β = 73.58°, γ = 73.58°
Last column: nearest neighbours and their distance in Å.
Fractional coordinates of all 18 atoms:
Br: 0.9194 0.7602 0.3723  1 V 2.30
Br: 0.0806 0.2398 0.6277  1 V 2.30
Br: 0.7674 0.1297 0.4158  2 Ag 2.50
Br: 0.5212 0.0245 0.8047  1 V 2.30
Br: 0.4788 0.9755 0.1953  1 V 2.30
Br: 0.7326 0.5842 0.8703  2 Ag 2.50
Br: 0.4194 0.3723 0.7602  1 V 2.30
Br: 0.5806 0.6277 0.2398  1 V 2.30
Br: 0.2674 0.4158 0.1297  2 Ag 2.50
Br: 0.9788 0.1953 0.9755  1 V 2.30
Br: 0.0212 0.8047 0.0245  1 V 2.30
Br: 0.2326 0.8703 0.5842  2 Ag 2.50
V: 0.7500 0.7910 0.2090  4 Br 2.30
V: 0.2500 0.2090 0.7910  4 Br 2.30
Ag: 0.4846 0.7316 0.7281  2 Br 2.50
Ag: 0.5154 0.2684 0.2719  2 Br 2.50
Ag: 0.9846 0.7281 0.7316  2 Br 2.50
Ag: 0.0154 0.2719 0.2684  2 Br 2.50

***

The following is a DFT calculation (PBE) of a relaxed NaPdF crystal.

Computed properties:
Density of states at the Fermi level = 2.7 states/eV per cell
Energy relative to the elements, uncorrected = -3.6 eV/f.u.
Space group = Cm

a = 2.9511 Å, b = 6.2866 Å, c = 6.2167 Å
α = 90.63°, β = 76.24°, γ = 76.40°
Last column: nearest neighbours and their distance in Å.
Fractional coordinates of all 6 atoms:
F: 0.9004 0.2767 0.6998  4 Na 2.23-2.31, 1 Pd 2.25
F: 0.9922 0.5058 0.2871  3 Na 2.28-2.34, 2 Pd 2.38
Pd: 0.9055 0.0180 0.9466  1 F 2.25
Pd: 0.3944 0.7907 0.1960  2 F 2.38, 2 Pd 2.58
Na: 0.1979 0.4810 0.8993  3 F 2.23-2.34
Na: 0.5589 0.2537 0.4059  4 F 2.28-2.31

***

The following is a DFT calculation (PBE) of a relaxed Pa6AsOs2Se3 crystal.

Computed properties:
Density of states at the Fermi level = 21.4 states/eV per cell
Energy relative to the elements, uncorrected = -10.8 eV/f.u.
Space group = C2/m

a = 6.9956 Å, b = 6.9956 Å, c = 7.2038 Å
α = 99.43°, β = 99.43°, γ = 119.79°
Last column: nearest neighbours and their distance in Å.
Fractional coordinates of all 12 atoms:
As: 0.0000 0.0000 0.0000  6 Pa 2.90-2.91
Pa: 0.9230 0.5737 0.7673  2 Os 2.77-2.79, 1 As 2.91, 3 Se 2.94-3.02
Pa: 0.7268 0.7268 0.2267  2 Os 2.76, 1 As 2.90, 3 Se 2.91-2.96
Pa: 0.2732 0.2732 0.7733  2 Os 2.76, 1 As 2.90, 3 Se 2.91-2.96
Pa: 0.5737 0.9230 0.7673  2 Os 2.77-2.79, 1 As 2.91, 3 Se 2.94-3.02
Pa: 0.0770 0.4263 0.2327  2 Os 2.77-2.79, 1 As 2.91, 3 Se 2.94-3.02
Pa: 0.4263 0.0770 0.2327  2 Os 2.77-2.79, 1 As 2.91, 3 Se 2.94-3.02
Os: 0.3326 0.6674 0.0000  6 Pa 2.76-2.79
Os: 0.6674 0.3326 0.0000  6 Pa 2.76-2.79
Se: 0.8421 0.1579 0.5000  6 Pa 2.94-3.02
Se: 0.1579 0.8421 0.5000  6 Pa 2.94-3.02
Se: 0.5000 0.5000 0.5000  6 Pa 2.91-3.00

***

The following is a DFT calculation (PBE) of a relaxed Nd3Ti crystal.

Computed properties:
Calculated formation energy = 0.253 eV/atom
Density of states at the Fermi level = 6.3 states/eV per cell
Space group = I4/mmm

a = 6.0264 Å, b = 6.0264 Å, c = 6.0264 Å
α = 131.55°, β = 131.55°, γ = 70.94°
Last column: nearest neighbours and their distance in Å.
Fractional coordinates of all 4 atoms:
Nd: 0.7500 0.2500 0.5000  8 Nd 3.48-3.50, 4 Ti 3.48
Nd: 0.2500 0.7500 0.5000  8 Nd 3.48-3.50, 4 Ti 3.48
Nd: 0.5000 0.5000 0.0000  8 Nd 3.48, 4 Ti 3.50
Ti: 0.0000 0.0000 0.0000  12 Nd 3.48-3.50

***

The following is a DFT calculation (PBE) of a relaxed Cs2InOsO6 crystal.

Computed properties:
Density of states at the Fermi level = 3.1 states/eV per cell
Energy relative to the elements, uncorrected = -12.6 eV/f.u.
Space group = P-3m1

a = 5.6774 Å, b = 6.5929 Å, c = 6.5929 Å
α = 120.00°, β = 90.00°, γ = 90.00°
Last column: nearest neighbours and their distance in Å.
Fractional coordinates of all 10 atoms:
In: 0.5000 0.0000 0.0000  6 O 2.26
Cs: 0.1811 0.3333 0.6667  9 O 3.17-3.32
Cs: 0.8189 0.6667 0.3333  9 O 3.17-3.32
O: 0.7946 0.1328 0.2656  1 Os 1.91
O: 0.2054 0.8672 0.1328  1 Os 1.91
O: 0.2054 0.8672 0.7344  1 Os 1.91
O: 0.7946 0.7344 0.8672  1 Os 1.91
O: 0.7946 0.1328 0.8672  1 Os 1.91
O: 0.2054 0.2656 0.1328  1 Os 1.91
Os: 0.0000 0.0000 0.0000  6 O 1.91

***

The following is a DFT calculation (PBE) of a relaxed Na2SrLi2 crystal.

Computed properties:
Calculated formation energy = 0.078 eV/atom
Density of states at the Fermi level = 6.4 states/eV per cell
Space group = P4/mbm

a = 9.4466 Å, b = 9.4466 Å, c = 3.8488 Å
α = 90.00°, β = 90.00°, γ = 90.00°
Last column: nearest neighbours and their distance in Å.
Fractional coordinates of all 10 atoms:
Na: 0.3331 0.1669 0.5000  6 Li 3.38
Na: 0.6669 0.8331 0.5000  6 Li 3.38
Na: 0.8331 0.3331 0.5000  6 Li 3.38
Na: 0.1669 0.6669 0.5000  6 Li 3.38
Li: 0.6247 0.1247 0.0000  1 Li 3.33, 6 Na 3.38
Li: 0.1247 0.3753 0.0000  1 Li 3.33, 6 Na 3.38
Li: 0.3753 0.8753 0.0000  1 Li 3.33, 6 Na 3.38
Li: 0.8753 0.6247 0.0000  1 Li 3.33, 6 Na 3.38
Sr: 0.5000 0.5000 0.0000  4 Li 3.74, 2 Sr 3.85, 8 Na 4.01
Sr: 0.0000 0.0000 0.0000  4 Li 3.74, 2 Sr 3.85, 8 Na 4.01

***

The following is a DFT calculation (PBE) of a relaxed ZnTe3 crystal.

Computed properties:
Density of states at the Fermi level = 3.4 states/eV per cell
Energy relative to the elements, uncorrected = 1.1 eV/f.u.
Space group = P4/mmm

a = 5.3185 Å, b = 5.3185 Å, c = 3.7328 Å
α = 90.00°, β = 90.00°, γ = 90.01°
Last column: nearest neighbours and their distance in Å.
Fractional coordinates of all 4 atoms:
Te: 0.5000 0.0000 0.5000  4 Zn 3.25, 4 Te 3.25
Te: 0.5000 0.5000 0.0000  8 Te 3.25
Te: 0.0000 0.5000 0.5000  4 Te 3.25, 4 Zn 3.25
Zn: 0.0000 0.0000 0.0000  8 Te 3.25

***

The following is a DFT calculation (PBE) of a relaxed TbPaTcPd crystal.

Computed properties:
Calculated formation energy = -0.326 eV/atom
Density of states at the Fermi level = 4.2 states/eV per cell
Space group = F-43m

a = 4.9095 Å, b = 4.9095 Å, c = 4.9095 Å
α = 60.00°, β = 60.00°, γ = 60.00°
Last column: nearest neighbours and their distance in Å.
Fractional coordinates of all 4 atoms:
Pa: 0.2500 0.2500 0.2500  4 Tc 3.01, 4 Pd 3.01
Tc: 0.5000 0.5000 0.5000  4 Tb 3.01, 4 Pa 3.01
Tb: 0.7500 0.7500 0.7500  4 Tc 3.01, 4 Pd 3.01
Pd: 0.0000 0.0000 0.0000  4 Tb 3.01, 4 Pa 3.01

***

| no. | DFT total energy (eV/cell) |
| --- | --- |
| 1 | -21.51 |
| 2 | -17.69 |
| 3 | -3.66 |
| 4 | -14.36 |
| 5 | -23.06 |
| 6 | -8.49 |
| 7 | -43.22 |
| 8 | -29.98 |
| 9 | -65.30 |
| 10 | -28.54 |
| 11 | -18.60 |
| 12 | -31.89 |
| 13 | -59.53 |
| 14 | -23.97 |
| 15 | -105.29 |
| 16 | -21.19 |
| 17 | -58.02 |
| 18 | -15.52 |
| 19 | -9.61 |
| 20 | -30.99 |